This record from the Alexandria database describes AcTi2Se4 after structural relaxation. The functional is PBE-GGA.

POSCAR file:
```
AcTi2Se4
1.0
-0.8059 1.6839 3.6625
-5.5646 -1.7115 -2.7446
0.8552 -11.7320 5.5822
Ti Se Ac
4 8 2
direct
0.8871 0.7742 0.5563
0.1129 0.2258 0.0563
0.1129 0.2258 0.4437
0.8871 0.7742 0.9437
0.7604 0.5207 0.1051
0.7604 0.5207 0.3949
0.2396 0.4793 0.6051
0.2396 0.4793 0.8949
0.0645 0.1289 0.2500
0.5000 0.0000 0.5000
0.5000 0.0000 0.0000
0.9355 0.8711 0.7500
0.3727 0.7455 0.2500
0.6273 0.2545 0.7500
```

## Properties
E_tot	-6.192	eV/atom

=====

This record from the Alexandria database describes AcTi4Se8 after structural relaxation. The functional is PBE-GGA.

POSCAR file:
```
AcTi4Se8
1.0
-1.7705 0.3129 -7.6360
-5.3522 -4.8948 -2.9893
-6.9786 2.7485 -2.2990
Ti Se Ac
4 8 1
direct
0.3602 0.3602 0.3602
0.9194 0.3602 0.3602
0.3602 0.3602 0.9194
0.3602 0.9194 0.3602
0.1293 0.1293 0.1293
0.6015 0.6015 0.6015
0.6121 0.1293 0.1293
0.6015 0.1954 0.6015
0.1293 0.6121 0.1293
0.1293 0.1293 0.6121
0.1954 0.6015 0.6015
0.6015 0.6015 0.1954
0.7500 0.7500 0.7500
```

## Properties
E_tot	-6.034	eV/atom
distance to the lowest polymorph of the same formula	0.161	eV per atom

=====

This record from the Alexandria database describes Ac2Ti2Se7 after structural relaxation. The functional is PBE-GGA.

POSCAR file:
```
Ac2Ti2Se7
1.0
7.0361 0.0349 0.0504
-0.7265 7.8536 -0.4066
-0.7265 -3.1386 7.2107
Ti Se Ac
2 7 2
direct
0.1150 0.7436 0.7436
0.8850 0.2564 0.2564
0.7867 0.5698 0.5698
0.0000 0.0000 0.0000
0.2133 0.4302 0.4302
0.7173 0.3714 0.0532
0.2827 0.6286 0.9468
0.7173 0.0532 0.3714
0.2827 0.9468 0.6286
0.5000 0.3214 0.6786
0.5000 0.6786 0.3214
```

## Properties
E_tot	-5.750	eV/atom

=====

Number 1: M_tot 3.59 μB per cell, raw formation energy -9.5 eV/f.u.. Number 2: M_tot 3.03 μB per cell, raw formation energy -14.9 eV/f.u.. Number 3: M_tot 0.00 μB per cell, raw formation energy -14.8 eV/f.u..